The following is a DFT calculation (GGA-PBE) of an optimized crystal structure of CaYBeCl2.

mass density	1.73	Mg/m³
M_tot	0.16	μB per atom
formation energy without anion corrections	-0.34	eV per atom
space group	P4/mmm (123)

Cell: 5.126 7.646 5.126 Å, 90.00 90.00 90.00°
Site moments in Bohr magnetons follow the coordinates.
Positions (direct):
Be (0.500, 0.500, 0.500)  0.05
Ca (0.000, 0.500, 0.000)  0.06
Cl (0.500, 0.000, 0.000)  0.00
Cl (0.000, 0.000, 0.500)  0.00
Y (0.000, 0.000, 0.000)  0.13


The following is a DFT calculation (GGA-PBE) of an optimized crystal structure of CsCd2Hg4.

mass density	8.27	Mg/m³
energy of formation	-8.6	kJ per mole of atoms
M_tot	0.00	μB per atom
space group	Immm (71)
E above lowest polymorph	18	kJ/mol of formula units

Cell: 4.936 4.773 10.468 Å, 103.18 103.64 90.00°
Positions (direct):
Hg (0.324, 0.324, 0.649)
Hg (0.082, 0.582, 0.163)
Hg (0.918, 0.418, 0.837)
Hg (0.676, 0.676, 0.351)
Cd (0.177, 0.177, 0.355)
Cd (0.823, 0.823, 0.645)
Cs (0.500, 0.000, 0.000)


The following is a DFT calculation (GGA-PBE) of an optimized crystal structure of Ho5SeS4.

mass density	8.06	Mg/m³
M_tot	0.00	μB per atom
formation energy without anion corrections	-1.92	eV per atom
space group	C2/m (12)

Cell: 3.913 6.805 8.745 Å, 75.08 77.07 73.29°
Positions (direct):
Se (0.000, 0.000, 0.000)
Ho (0.608, 0.678, 0.106)
Ho (0.794, 0.103, 0.309)
Ho (0.206, 0.897, 0.691)
Ho (0.000, 0.500, 0.500)
Ho (0.392, 0.322, 0.894)
S (0.203, 0.391, 0.203)
S (0.797, 0.609, 0.797)
S (0.403, 0.798, 0.396)
S (0.597, 0.202, 0.604)


The following is a DFT calculation (GGA-PBE) of an optimized crystal structure of SrPd2F.

mass density	6.93	Mg/m³
M_tot	0.00	μB per atom
formation energy without anion corrections	-0.50	eV per atom
space group	Fm-3m (225)
E above lowest polymorph	306	kJ/mol of formula units

Cell: 4.765 4.765 4.765 Å, 60.00 60.00 60.00°
Positions (direct):
Pd (0.250, 0.250, 0.250)
Pd (0.750, 0.750, 0.750)
Sr (0.500, 0.500, 0.500)
F (0.000, 0.000, 0.000)


The following is a DFT calculation (GGA-PBE) of an optimized crystal structure of NaSi2RuS.

mass density	3.24	Mg/m³
M_tot	0.48	μB per atom
formation energy without anion corrections	1.78	eV per atom
space group	P4/mmm (123)

Cell: 4.875 4.585 4.875 Å, 90.00 90.00 90.00°
Site moments in Bohr magnetons follow the coordinates.
Positions (direct):
Si (0.000, 0.000, 0.500)  0.01
Si (0.500, 0.000, 0.000)  0.00
Ru (0.500, 0.500, 0.500)  2.15
S (0.000, 0.500, 0.000)  0.03
Na (0.000, 0.000, 0.000)  0.02


The following is a DFT calculation (GGA-PBE) of an optimized crystal structure of LuZnNi.

mass density	9.77	Mg/m³
energy of formation	-34.6	kJ per mole of atoms
M_tot	0.00	μB per atom
space group	I4mm (107)

Cell: 3.339 3.339 5.133 Å, 108.98 108.98 90.00°
Positions (direct):
Zn (0.638, 0.638, 0.276)
Lu (0.942, 0.942, 0.885)
Ni (0.270, 0.270, 0.539)


The following is a DFT calculation (GGA-PBE) of an optimized crystal structure of SmTm3Sc6.

mass density	5.56	Mg/m³
energy of formation	38.2	kJ per mole of atoms
M_tot	0.00	μB per atom
space group	R3 (146)
E above lowest polymorph	232	kJ/mol of formula units

Cell: 9.214 9.214 6.517 Å, 45.01 45.01 60.00°
Positions (direct):
Sc (0.565, 0.236, 0.298)
Sc (0.069, 0.401, 0.798)
Sc (0.732, 0.069, 0.798)
Sc (0.901, 0.565, 0.298)
Sc (0.401, 0.732, 0.798)
Sc (0.236, 0.901, 0.298)
Tm (0.150, 0.150, 0.550)
Tm (0.399, 0.399, 0.803)
Tm (0.647, 0.647, 0.058)
Sm (0.899, 0.899, 0.302)


The following is a DFT calculation (GGA-PBE) of an optimized crystal structure of Ac5InCo2.

mass density	8.93	Mg/m³
energy of formation	-9.8	kJ per mole of atoms
M_tot	0.00	μB per atom
space group	I4/mcm (140)

Cell: 8.298 8.298 9.431 Å, 116.10 116.10 90.00°
Positions (direct):
In (0.750, 0.750, 0.500)
In (0.250, 0.250, 0.500)
Ac (0.529, 0.709, 0.738)
Ac (0.709, 0.209, 0.738)
Ac (0.500, 0.500, 0.000)
Ac (0.791, 0.971, 0.262)
Ac (0.971, 0.471, 0.262)
Ac (0.291, 0.791, 0.262)
Ac (0.209, 0.029, 0.738)
Ac (0.471, 0.291, 0.262)
Ac (0.000, 0.000, 0.000)
Ac (0.029, 0.529, 0.738)
Co (0.860, 0.640, 0.000)
Co (0.139, 0.361, 0.000)
Co (0.360, 0.861, 0.000)
Co (0.639, 0.140, 0.000)